Entry 1:
! Y3Tm6Th2Sc (GGA-PBE, optimized geometry); values from VASP
! DOS at the Fermi energy   1.42 states/eV/atom
! V   365.7 Å³/cell
! Crystal system   monoclinic
! Calculated density   8.125 g cm⁻³
! Formation energy from the elements   27 meV per atom
! Space-group type   C2/m
&SYSTEM
  ibrav = 0, nat = 12, ntyp = 4
/
ATOMIC_SPECIES
Tm 168.93 Tm.upf
Y 88.91 Y.upf
Th 232.04 Th.upf
Sc 44.96 Sc.upf
CELL_PARAMETERS angstrom
-3.131 3.855 3.485
-0.526 -5.982 0.866
9.922 1.027 6.015
ATOMIC_POSITIONS angstrom
Tm 6.562 0.239 5.632
Tm -0.298 -1.339 4.733
Tm 1.094 1.363 2.993
Y 4.002 -3.833 4.309
Tm 5.170 -2.463 7.372
Th -1.394 -2.702 1.739
Y 2.263 2.733 6.056
Tm 4.302 0.814 8.244
Tm 1.962 -1.914 2.121
Sc 0.000 0.000 0.000
Th -2.263 0.576 2.612
Y 3.132 -0.550 5.182

***

Entry 2:
! Y2TmThSc (GGA-PBE, optimized geometry); values from VASP
! DOS at the Fermi energy   1.25 states/eV/atom
! V   315.2 Å³/cell
! Crystal system   orthorhombic
! Calculated density   6.573 g cm⁻³
! Formation energy from the elements   306 meV per atom
! Space-group type   Pmma
&SYSTEM
  ibrav = 0, nat = 10, ntyp = 4
/
ATOMIC_SPECIES
Th 232.04 Th.upf
Sc 44.96 Sc.upf
Y 88.91 Y.upf
Tm 168.93 Tm.upf
CELL_PARAMETERS angstrom
6.579 0.000 0.000
0.000 7.667 1.396
0.000 -1.100 6.047
ATOMIC_POSITIONS angstrom
Th 3.904 -0.275 1.512
Sc 0.000 0.000 0.000
Th 2.676 -0.825 4.535
Y 4.747 1.426 4.946
Y 4.747 4.591 5.520
Tm 5.364 3.559 2.210
Y 1.832 5.141 2.497
Y 1.832 1.976 1.923
Tm 1.215 3.009 5.233
Sc 0.000 -0.550 3.024

***

Entry 3:
! TmThScZn (GGA-PBE, optimized geometry); values from VASP
! DOS at the Fermi energy   1.32 states/eV/atom
! V   99.4 Å³/cell
! Crystal system   tetragonal
! Calculated density   8.542 g cm⁻³
! Formation energy from the elements   -171 meV per atom
! Space-group type   P4mm
&SYSTEM
  ibrav = 0, nat = 4, ntyp = 4
/
ATOMIC_SPECIES
Zn 65.41 Zn.upf
Tm 168.93 Tm.upf
Th 232.04 Th.upf
Sc 44.96 Sc.upf
CELL_PARAMETERS angstrom
-3.088 1.359 0.806
0.564 -0.704 3.349
3.516 7.414 0.966
ATOMIC_POSITIONS angstrom
Zn 1.956 4.125 0.537
Tm 1.480 6.110 2.831
Th 0.292 0.616 0.080
Sc 0.023 3.037 2.430

***

Entry 4:
! TmThZrSc (GGA-PBE, optimized geometry); values from VASP
! DOS at the Fermi energy   1.66 states/eV/atom
! V   108.1 Å³/cell
! Crystal system   cubic
! Calculated density   8.250 g cm⁻³
! Offset from the most stable computed form   47 meV/atom
! Formation energy from the elements   105 meV per atom
! Space-group type   F-43m
&SYSTEM
  ibrav = 0, nat = 4, ntyp = 4
/
ATOMIC_SPECIES
Tm 168.93 Tm.upf
Zr 91.22 Zr.upf
Th 232.04 Th.upf
Sc 44.96 Sc.upf
CELL_PARAMETERS angstrom
-4.898 -2.146 0.012
-0.643 -5.188 1.124
-2.261 -1.475 4.616
ATOMIC_POSITIONS angstrom
Tm -5.852 -6.607 4.314
Zr -3.901 -4.404 2.876
Th -1.951 -2.202 1.438
Sc 0.000 0.000 0.000

***

Entry 5:
! Tm2ThZr2Sc5 (GGA-PBE, optimized geometry); values from VASP
! DOS at the Fermi energy   1.43 states/eV/atom
! V   530.4 Å³/cell
! Crystal system   tetragonal
! Calculated density   6.118 g cm⁻³
! Formation energy from the elements   158 meV per atom
! Space-group type   P4/mbm
&SYSTEM
  ibrav = 0, nat = 20, ntyp = 4
/
ATOMIC_SPECIES
Tm 168.93 Tm.upf
Zr 91.22 Zr.upf
Sc 44.96 Sc.upf
Th 232.04 Th.upf
CELL_PARAMETERS angstrom
-2.203 -2.830 3.463
8.552 -5.715 0.768
3.534 6.280 7.379
ATOMIC_POSITIONS angstrom
Tm 9.473 -0.554 5.572
Zr 3.618 -1.285 1.251
Sc 6.253 -2.859 5.229
Sc 8.978 -0.359 9.005
Th 6.043 0.283 4.074
Tm 6.312 -2.762 1.757
Sc 6.468 -0.477 7.312
Sc 3.631 0.593 6.382
Sc 2.588 3.085 7.755
Tm 5.774 3.327 6.391
Zr 8.467 1.850 6.897
Tm 2.612 1.119 2.576
Sc 0.905 -1.906 2.606
Sc 7.295 -5.350 3.856
Sc 3.175 -4.273 2.116
Sc 0.666 1.725 5.421
Zr 3.351 3.214 4.757
Th 0.000 0.000 0.000
Zr 8.735 -2.649 3.390
Sc 3.415 -1.789 4.299

***

Entry 6:
! TmThZrSc (GGA-PBE, optimized geometry); values from VASP
! DOS at the Fermi energy   1.32 states/eV/atom
! V   109.9 Å³/cell
! Crystal system   trigonal
! Calculated density   8.119 g cm⁻³
! Offset from the most stable computed form   0 meV/atom
! Formation energy from the elements   58 meV per atom
! Space-group type   R3m
&SYSTEM
  ibrav = 0, nat = 4, ntyp = 4
/
ATOMIC_SPECIES
Th 232.04 Th.upf
Zr 91.22 Zr.upf
Sc 44.96 Sc.upf
Tm 168.93 Tm.upf
CELL_PARAMETERS angstrom
3.453 0.001 -0.002
-1.725 2.991 0.002
-1.728 -1.003 10.637
ATOMIC_POSITIONS angstrom
Th -1.399 0.773 9.201
Zr 0.327 -0.224 6.564
Sc -1.400 2.772 1.229
Tm 2.050 0.778 3.958

***

Entry 7:
! ThScU (GGA-PBE, optimized geometry); values from VASP
! DOS at the Fermi energy   2.47 states/eV/atom
! V   79.3 Å³/cell
! Crystal system   hexagonal
! Calculated density   10.782 g cm⁻³
! Formation energy from the elements   359 meV per atom
! Space-group type   P-6m2
&SYSTEM
  ibrav = 0, nat = 3, ntyp = 3
/
ATOMIC_SPECIES
Th 232.04 Th.upf
U 238.03 U.upf
Sc 44.96 Sc.upf
CELL_PARAMETERS angstrom
-0.986 2.844 -0.971
-5.067 -1.340 1.219
3.127 2.346 3.699
ATOMIC_POSITIONS angstrom
Th -2.993 1.785 1.398
U 0.231 1.592 2.710
Sc -0.164 0.473 -0.161

***

Entry 8:
! Th2ScV (GGA-PBE, optimized geometry); values from VASP
! DOS at the Fermi energy   1.76 states/eV/atom
! V   107.5 Å³/cell
! Crystal system   trigonal
! Calculated density   8.648 g cm⁻³
! Offset from the most stable computed form   402 meV/atom
! Formation energy from the elements   609 meV per atom
! Space-group type   R-3m
&SYSTEM
  ibrav = 0, nat = 4, ntyp = 3
/
ATOMIC_SPECIES
Th 232.04 Th.upf
V 50.94 V.upf
Sc 44.96 Sc.upf
CELL_PARAMETERS angstrom
3.328 0.000 0.000
1.664 2.882 0.000
1.664 0.961 11.208
ATOMIC_POSITIONS angstrom
Th 1.664 0.961 8.488
V 0.000 0.000 0.000
Sc 3.328 1.922 5.604
Th 4.992 2.882 2.720

***

> Among the records above, which one has the lowest DOS at the Fermi energy?

Y2TmThSc